No. 1
The following is a DFT calculation (GGA-PBE) of a relaxed structure of TiNb2In2Se6.

Formation energy without anion corrections ... -0.73 eV/atom
Total DFT energy (no corrections) ... -62.40 eV per formula unit

Lattice parameters (Å, degrees): 6.1557 10.9218 8.2754 90.00 106.43 90.00
Space group C2/m (No. 12)
One atom of each set of equivalent atoms:
Ti1 0.0000 0.0000 0.0000 x2
Nb1 0.0000 0.3099 0.0000 x4
In1 0.0000 0.1570 0.5000 x4
Se1 0.2320 0.5000 0.1867 x4
Se2 0.2496 0.1600 0.2114 x8

***

No. 2
The following is a DFT calculation (GGA-PBE) of a relaxed structure of Nb2VIn2Se6.

Formation energy without anion corrections ... -0.61 eV/atom
Total DFT energy (no corrections) ... -62.36 eV per formula unit

Lattice parameters (Å, degrees): 6.1577 10.8405 8.3032 90.00 106.97 90.00
Space group C2/m (No. 12)
One atom of each set of equivalent atoms:
Nb1 0.0000 0.1884 0.0000 x4
V1 0.0000 0.5000 0.0000 x2
In1 0.0000 0.3397 0.5000 x4
Se1 0.2389 0.0000 0.1872 x4
Se2 0.2505 0.1585 0.7913 x8

***

No. 3
The following is a DFT calculation (GGA-PBE) of a relaxed structure of Nb2InSi.

Formation energy without anion corrections ... -0.03 eV/atom
Total DFT energy (no corrections) ... -28.43 eV per formula unit

Lattice parameters (Å, degrees): 3.5493 3.5493 21.4812 90.00 90.00 120.00
Space group R-3m (No. 166, hexagonal axes)
One atom of each set of equivalent atoms:
Nb1 0.0000 0.0000 0.2320 x6
In1 0.0000 0.0000 0.0000 x3
Si1 0.0000 0.0000 0.5000 x3

***

Q: Which value of total DFT energy (no corrections) does entry 3 give?
A: -28.43 eV per formula unit